DFT (PBE) results for a relaxed structure of AcErTh.

```
3
Lattice="-3.171 -4.460 1.056 -2.929 -0.279 4.733 -5.554 0.437 -0.130" Properties=species:S:1:pos:R:3 pbc="T T T"
Er 0.000 0.000 0.000
Th -8.741 -3.226 4.244
Ac -2.914 -1.075 1.415
```

Output
symmetry	F-43m, No. 216
energy above the most stable polymorph in this dataset	0	meV per atom
calculated formation energy	738	meV/atom
total magnetization	0.0	μB per formula unit

---

DFT (PBE) results for a relaxed structure of Hf2CuIr.

```
16
Lattice="6.193 0.000 0.000 0.000 6.612 0.000 0.000 0.000 6.700" Properties=species:S:1:pos:R:3 pbc="T T T"
Cu 3.100 1.653 3.360
Hf 1.549 3.305 1.674
Hf 1.549 0.001 1.674
Hf 4.644 6.611 5.025
Hf 1.548 3.305 5.024
Ir 3.092 4.959 0.000
Ir 6.188 1.653 3.350
Hf 1.548 0.001 5.024
Cu 3.093 4.959 3.340
Cu 0.004 4.959 6.690
Cu 6.189 1.653 0.010
Ir 3.101 1.653 0.000
Ir 0.005 4.959 3.349
Hf 4.645 6.611 1.676
Hf 4.644 3.307 5.025
Hf 4.645 3.307 1.676
```

Output
symmetry	Pnma, No. 62
energy above the most stable polymorph in this dataset	16	meV per atom
calculated formation energy	-558	meV/atom
total magnetization	0.0	μB per formula unit

---

DFT (PBE) results for a relaxed structure of FeNiSn2.

```
4
Lattice="0.000 3.300 3.300 3.300 0.000 3.300 3.300 3.300 0.000" Properties=species:S:1:pos:R:3 pbc="T T T"
Fe 1.650 1.650 1.650
Sn 4.950 4.950 4.950
Ni 3.300 3.300 3.300
Sn 0.000 0.000 0.000
```

Output
symmetry	F-43m, No. 216
energy above the most stable polymorph in this dataset	0	meV per atom
total magnetization	2.8	μB per formula unit